# PBE-GGA HOsCl2, optimized geometry
data_HOsCl2
_space_group_name_H-M_alt 'R -3 m'
_space_group_IT_number 166
_space_group_name_Hall '-R 3 2"'
_cell_length_a 2.9731
_cell_length_b 2.9731
_cell_length_c 21.2366
_cell_angle_alpha 90.00
_cell_angle_beta 90.00
_cell_angle_gamma 120.00
loop_
_atom_site_label
_atom_site_type_symbol
_atom_site_fract_x
_atom_site_fract_y
_atom_site_fract_z
H1 H 0.0000 0.0000 0.0000
Os1 Os 0.0000 0.0000 0.5000
Cl1 Cl 0.0000 0.0000 0.3947
# - M_tot: 0.00 μB per cell
# - Distance to the lowest polymorph of the same formula: 0 kJ/mol of formula units
# - E: -3.91 eV per atom

# PBE-GGA Ca2LaPaSe6, optimized geometry
data_Ca2LaPaSe6
_space_group_name_H-M_alt 'R 3'
_space_group_IT_number 146
_space_group_name_Hall 'R 3'
_cell_length_a 7.3904
_cell_length_b 7.3904
_cell_length_c 19.7501
_cell_angle_alpha 90.00
_cell_angle_beta 90.00
_cell_angle_gamma 120.00
loop_
_atom_site_label
_atom_site_type_symbol
_atom_site_fract_x
_atom_site_fract_y
_atom_site_fract_z
Ca1 Ca 0.0000 0.0000 0.0000
Ca2 Ca 0.0000 0.0000 0.4926
La1 La 0.0000 0.0000 0.1991
Pa1 Pa 0.0000 0.0000 0.6912
Se1 Se 0.0008 0.7084 0.6013
Se2 Se 0.0372 0.3383 0.7655
# - M_tot: 0.00 μB per cell
# - E: -5.67 eV per atom

Question: What is the M_tot in the first record?
Answer: 0.00 μB per cell